Entry from the Alexandria database: a relaxed MgAgTe2Ru crystal (PBE).

## Properties
For the total magnetization, the calculation gives 2.83 μB per cell. The calculation puts the calculated total energy at -2.962 eV/atom. The value obtained for the volume is 27.1 A^3/atom. The calculation puts the energy relative to the elements, uncorrected at 1.04 eV per atom. The space group is P4/mmm (123).

Cell and atoms, written as POSCAR:
```
MgAgTe2Ru
1.0
5.3349 0.0000 0.0000
0.0000 5.3349 0.0000
0.0000 0.0000 4.7557
Mg Ag Te Ru
1 1 2 1
Cartesian
0.0000 0.0000 0.0000
0.0000 0.0000 2.3778
0.0000 2.6674 2.3778
2.6674 0.0000 2.3778
2.6674 2.6674 0.0000
```